Entry 1:
# RbTePbI2 | Alexandria | PBE | relaxed
# Polymorph energy (0 for the lowest one), meV per atom: 0.0
# Final energy, eV/atom: -2.798
data_RbTePbI2
_cell_length_a 6.395
_cell_length_b 6.395
_cell_length_c 6.043
_cell_angle_alpha 90.00
_cell_angle_beta 90.00
_cell_angle_gamma 90.00
_symmetry_space_group_name_H-M 'P 4/m m m'
_symmetry_Int_Tables_number 123
_symmetry_space_group_name_Hall '-P 4 2'
loop_
_atom_site_label
_atom_site_fract_x
_atom_site_fract_y
_atom_site_fract_z
_atom_site_occupancy
Rb1 0.000 0.000 0.000 1
Te1 0.500 0.500 0.000 1
Pb1 0.500 0.500 0.500 1
I1 0.000 0.500 0.500 1

=====

Entry 2:
# V2ZnAs | Alexandria | PBE | relaxed
# Polymorph energy (0 for the lowest one), meV per atom: 211.7
# Final energy, eV/atom: -5.749
data_V2ZnAs
_cell_length_a 3.644
_cell_length_b 3.644
_cell_length_c 18.459
_cell_angle_alpha 90.00
_cell_angle_beta 90.00
_cell_angle_gamma 90.00
_symmetry_space_group_name_H-M 'I -4 2 d'
_symmetry_Int_Tables_number 122
_symmetry_space_group_name_Hall 'I -4 2bw'
loop_
_atom_site_label
_atom_site_fract_x
_atom_site_fract_y
_atom_site_fract_z
_atom_site_occupancy
V1 0.238 0.250 0.125 1
Zn1 0.000 0.000 0.500 1
As1 0.000 0.000 0.000 1

=====

Entry 3:
# VCuOsPt | Alexandria | PBE | relaxed
# Final energy, eV/atom: -7.730
data_VCuOsPt
_cell_length_a 6.043
_cell_length_b 6.043
_cell_length_c 6.043
_cell_angle_alpha 90.00
_cell_angle_beta 90.00
_cell_angle_gamma 90.00
_symmetry_space_group_name_H-M 'F -4 3 m'
_symmetry_Int_Tables_number 216
_symmetry_space_group_name_Hall 'F -4 2 3'
loop_
_atom_site_label
_atom_site_fract_x
_atom_site_fract_y
_atom_site_fract_z
_atom_site_occupancy
V1 0.000 0.000 0.000 1
Cu1 0.000 0.000 0.500 1
Os1 0.250 0.250 0.750 1
Pt1 0.250 0.250 0.250 1

=====

Entry 4:
# Nb3Pt2N | Alexandria | PBE | relaxed
# Final energy, eV/atom: -9.238
data_Nb3Pt2N
_cell_length_a 7.082
_cell_length_b 7.082
_cell_length_c 7.082
_cell_angle_alpha 90.00
_cell_angle_beta 90.00
_cell_angle_gamma 90.00
_symmetry_space_group_name_H-M 'P 41 3 2'
_symmetry_Int_Tables_number 213
_symmetry_space_group_name_Hall 'P 4bd 2ab 3'
loop_
_atom_site_label
_atom_site_fract_x
_atom_site_fract_y
_atom_site_fract_z
_atom_site_occupancy
Nb1 0.046 0.125 0.796 1
Pt1 0.061 0.939 0.439 1
N1 0.125 0.375 0.625 1

=====

Q: Which of these has the lowest final energy?
A: Nb3Pt2N

=====

Q: Which formula does entry 4 have?
A: Nb3Pt2N